First-principles (GGA-PBE) data for crystalline InCu4Pd15 at its relaxed geometry, as listed in the Alexandria database.

```
InCu4Pd15
1.0
3.9169 0.0000 0.0000
0.0000 3.9169 0.0000
0.0000 0.0000 19.6061
In Cu Pd
1 4 15
direct
0.0000 0.0000 0.0000 In
0.0000 0.0000 0.2051 Cu
0.0000 0.0000 0.4015 Cu
0.0000 0.0000 0.5985 Cu
0.0000 0.0000 0.7949 Cu
0.0000 0.5000 0.1069 Pd
0.0000 0.5000 0.3037 Pd
0.0000 0.5000 0.5000 Pd
0.0000 0.5000 0.6963 Pd
0.0000 0.5000 0.8931 Pd
0.5000 0.0000 0.1069 Pd
0.5000 0.0000 0.3037 Pd
0.5000 0.0000 0.5000 Pd
0.5000 0.0000 0.6963 Pd
0.5000 0.0000 0.8931 Pd
0.5000 0.5000 0.0000 Pd
0.5000 0.5000 0.2056 Pd
0.5000 0.5000 0.4019 Pd
0.5000 0.5000 0.5981 Pd
0.5000 0.5000 0.7944 Pd
```

Properties
total magnetization: 0.00 μB/cell
Fermi-level density of states: 1.0889 states/eV/atom
calculated formation energy: -0.132 eV/atom